This record from the Alexandria database describes an optimized crystal structure of ThMn2WO8. The functional is PBE+U.

Properties
As for the total energy: -7.964 eV per atom. The space-group type is C2/m, No. 12.

Unit cell a=4.7557 b=4.7557 c=6.8449 alpha=94.09 beta=94.09 gamma=87.14
With the nearest neighbours (Å) after each atom.
Element x y z (fractional)
Th (0.0000, 0.0000, 0.0000)  6 O 2.21-2.36
Mn (0.4872, 0.4872, 0.7422)  4 O 1.92-1.98
Mn (0.5128, 0.5128, 0.2578)  4 O 1.92-1.98
W (0.0000, 0.0000, 0.5000)  6 O 1.94-1.96
O (0.1990, 0.7989, 0.2872)  1 W 1.96, 1 Mn 1.98
O (0.2011, 0.8010, 0.7128)  1 W 1.96, 1 Mn 1.98
O (0.2831, 0.2831, 0.5252)  1 W 1.94, 1 Mn 1.94
O (0.3225, 0.3225, 0.0328)  1 Mn 1.92
O (0.6775, 0.6775, 0.9672)  1 Mn 1.92
O (0.7169, 0.7169, 0.4748)  1 W 1.94, 1 Mn 1.94
O (0.7989, 0.1990, 0.2872)  1 W 1.96, 1 Mn 1.98
O (0.8010, 0.2011, 0.7128)  1 W 1.96, 1 Mn 1.98